Compound: NaMg2Pb
Source: Alexandria
Functional: GGA-PBE
Structure: optimized geometry

Computed properties:
The formation enthalpy at 0 K is 0.110 eV per atom. Its total energy is -1.94 eV per atom.

Cell and atoms, written as CIF:
```
data_NaMg2Pb
_space_group_name_H-M_alt 'R -3 m'
_space_group_IT_number 166
_space_group_name_Hall '-R 3 2"'
_cell_length_a 3.3734
_cell_length_b 3.3734
_cell_length_c 35.0167
_cell_angle_alpha 90.00
_cell_angle_beta 90.00
_cell_angle_gamma 120.00
loop_
_atom_site_label
_atom_site_type_symbol
_atom_site_fract_x
_atom_site_fract_y
_atom_site_fract_z
Na1 Na 0.0000 0.0000 0.0000
Mg1 Mg 0.0000 0.0000 0.0905
Pb1 Pb 0.0000 0.0000 0.5000
```